A plane-wave DFT calculation with PBE-GGA was carried out for LiTlPPd2 after structural relaxation.

a b c (Å): 4.591 4.591 4.656
angles (deg): 90.00 90.00 90.00
Sites, in units of the cell vectors:
Tl  0.500  0.500  0.500
Li  0.000  0.000  0.500
Pd  0.000  0.500  0.000
P  0.000  0.000  0.000
Pd  0.500  0.000  0.000

Properties
The value obtained for the volume is 19.63 Å³ per atom. The density comes out at 7700 kg/m³. The symmetry is P4/mmm, No. 123. The formation energy from the elements comes out at -0.27 eV per atom. Its density of states at the Fermi level is 3.94 states/eV/f.u. Its crystal system is tetragonal.